12
Lattice="9.707 -2.200 0.000 9.707 2.200 0.000 -2.425 0.000 8.553" Properties=species:S:1:pos:R:3 comment="PBE-GGA K3CaAc2S6, optimized geometry" raw_formation_energy_ev_per_atom=-1.6780 total_energy_ev_per_atom=-4.8676 space_group=C2/m dos_ef_per_ev_cell=17.9 pbc="T T T"
K 0.000 0.000 0.000
K 4.892 0.000 5.712
K 12.097 0.000 2.841
Ca -1.212 0.000 4.276
Ac 6.088 0.000 1.514
Ac 10.901 0.000 7.039
S 1.584 0.000 5.088
S 3.232 0.000 0.523
S 8.898 0.000 2.399
S 8.091 0.000 6.153
S 13.757 0.000 8.030
S 15.405 0.000 3.464